No. 1
A plane-wave DFT calculation with PBE was carried out for crystalline Sm4Y10Th at its relaxed geometry.

a b c (Å): 8.9432 8.9432 8.9432
angles (deg): 101.72 101.72 126.42
Closest atoms and distances in Å follow each position.
Sites, in units of the cell vectors:
Sm1 0.2254 0.2254 0.4507  8 Y 3.49-3.60, 1 Th 3.60
Sm2 0.2254 0.7746 0.0000  8 Y 3.49-3.60, 1 Th 3.60
Sm3 0.7746 0.2254 0.0000  8 Y 3.49-3.60, 1 Th 3.60
Sm4 0.7746 0.7746 0.5493  8 Y 3.49-3.60, 1 Th 3.60
Y1 0.0868 0.2947 0.7921  4 Y 3.31-3.32, 1 Th 3.34, 4 Sm 3.49-3.60
Y2 0.2500 0.7500 0.5000  4 Y 3.32
Y3 0.2947 0.0868 0.7921  4 Y 3.31-3.32, 1 Th 3.34, 4 Sm 3.49-3.60
Y4 0.2947 0.5025 0.2079  4 Y 3.31-3.32, 1 Th 3.34, 4 Sm 3.49-3.60
Y5 0.4975 0.7053 0.7921  4 Y 3.31-3.32, 1 Th 3.34, 4 Sm 3.49-3.60
Y6 0.5025 0.2947 0.2079  4 Y 3.31-3.32, 1 Th 3.34, 4 Sm 3.49-3.60
Y7 0.7053 0.4975 0.7921  4 Y 3.31-3.32, 1 Th 3.34, 4 Sm 3.49-3.60
Y8 0.7053 0.9132 0.2079  4 Y 3.31-3.32, 1 Th 3.34, 4 Sm 3.49-3.60
Y9 0.7500 0.2500 0.5000  4 Y 3.32
Y10 0.9132 0.7053 0.2079  4 Y 3.31-3.32, 1 Th 3.34, 4 Sm 3.49-3.60
Th1 0.0000 0.0000 0.0000  8 Y 3.34, 4 Sm 3.60

* uncorrected energy: -5.809 eV/atom
* spin magnetization: 0.0 μB per formula unit

=====

No. 2
A plane-wave DFT calculation with PBE was carried out for crystalline RbScC at its relaxed geometry.

a b c (Å): 4.0233 5.0888 11.6432
angles (deg): 100.69 99.82 90.00
Closest atoms and distances in Å follow each position.
Sites, in units of the cell vectors:
Rb1 0.0000 0.0000 0.0000  2 Rb 4.02, 3 Sc 4.21-4.44
Rb2 0.3002 0.3342 0.6094  4 C 3.46-3.47, 2 Sc 3.77
Sc1 0.1697 0.7227 0.3447  4 C 2.29
Sc2 0.6608 0.2160 0.3265  2 C 2.14-2.15
C1 0.7075 0.6215 0.4214  1 C 1.37
C2 0.7074 0.8900 0.4210  1 C 1.37

* uncorrected energy: -5.333 eV/atom
* relative energy among the computed polymorphs: 144.2 meV/atom
* spin magnetization: 0.0 μB per formula unit

=====

No. 3
A plane-wave DFT calculation with PBE was carried out for crystalline ScTcSb at its relaxed geometry.

a b c (Å): 3.3037 3.3037 6.4558
angles (deg): 90.00 90.00 120.00
Closest atoms and distances in Å follow each position.
Sites, in units of the cell vectors:
Sc1 0.0000 0.0000 0.0000  3 Tc 2.76
Tc1 0.6667 0.3333 0.3097  3 Sb 2.71, 3 Sc 2.76
Sb1 0.3333 0.6667 0.6086  3 Tc 2.71

* E_form (uncorrected): -0.0827 eV per atom
* uncorrected energy: -7.023 eV/atom
* relative energy among the computed polymorphs: 208.0 meV/atom
* spin magnetization: 0.0 μB per formula unit

=====

No. 4
A plane-wave DFT calculation with PBE was carried out for crystalline Tb4TePb2 at its relaxed geometry.

a b c (Å): 6.6115 6.5425 10.2652
angles (deg): 90.00 105.19 90.00
Closest atoms and distances in Å follow each position.
Sites, in units of the cell vectors:
Tb1 0.0271 0.9996 0.2687  1 Te 3.16, 4 Pb 3.18-3.25, 2 Tb 3.27-3.28
Tb2 0.0271 0.5004 0.2687  1 Te 3.16, 4 Pb 3.18-3.25, 2 Tb 3.27-3.28
Tb3 0.3865 0.2500 0.5484  1 Te 3.02, 1 Pb 3.12
Tb4 0.4725 0.2500 0.1575  3 Te 3.12-3.39, 1 Pb 3.24
Tb5 0.5275 0.7500 0.8425  3 Te 3.12-3.39, 1 Pb 3.24
Tb6 0.6135 0.7500 0.4516  1 Te 3.02, 1 Pb 3.12
Tb7 0.9729 0.0004 0.7313  1 Te 3.16, 4 Pb 3.18-3.25, 2 Tb 3.27-3.28
Tb8 0.9729 0.4996 0.7313  1 Te 3.16, 4 Pb 3.18-3.25, 2 Tb 3.27-3.28
Te1 0.3925 0.2500 0.8438  4 Tb 3.02-3.16
Te2 0.6075 0.7500 0.1562  4 Tb 3.02-3.16
Pb1 0.0829 0.7500 0.0069  4 Tb 3.18-3.25, 1 Te 3.40, 2 Pb 3.44
Pb2 0.2008 0.7500 0.5456  8 Tb 3.12-3.49
Pb3 0.7992 0.2500 0.4544  8 Tb 3.12-3.49
Pb4 0.9171 0.2500 0.9931  4 Tb 3.18-3.25, 1 Te 3.40, 2 Pb 3.44

* E_form (uncorrected): -0.5661 eV per atom
* uncorrected energy: -4.720 eV/atom
* relative energy among the computed polymorphs: 164.5 meV/atom
* spin magnetization: 0.0 μB per formula unit